[1]
Entry from the Alexandria database: Be2TlZn at its PBEsol-relaxed geometry (SCAN).

Cell lengths 2.9688, 3.9774, 5.3127 Å; angles 90.00, 100.96, 90.00 degrees
Space group P2/m (No. 10)
Inequivalent atoms, fractional coordinates:
Be: 0.1814 0.0000 0.3345 [2 per cell]
Tl: 0.0000 0.5000 0.0000 [1 per cell]
Zn: 0.5000 0.5000 0.5000 [1 per cell]

E = -23.15 eV per atom
Fermi-level density of states = 0.28 states/eV/atom
Energy of formation from the pure elements = 0.4939 eV per atom
Total magnetization = 0.00 μB/cell
Distance to the lowest polymorph of the same formula = 0 meV per atom

***

[2]
Entry from the Alexandria database: Si2Pb3O7 at its PBEsol-relaxed geometry (SCAN).

Cell lengths 10.1024, 10.1024, 38.6678 Å; angles 90.00, 90.00, 120.00 degrees
Space group R-3c (No. 167, hexagonal axes)
Inequivalent atoms, fractional coordinates:
Si: 0.0087 0.4020 0.0486 [36 per cell]
Pb: 0.0000 0.0000 0.1601 [12 per cell]
Pb: 0.0000 0.0000 0.2500 [6 per cell]
Pb: 0.0267 0.2694 0.9616 [36 per cell]
O: 0.0000 0.3862 0.7500 [18 per cell]
O: 0.0425 0.2009 0.7076 [36 per cell]
O: 0.0468 0.2721 0.1504 [36 per cell]
O: 0.0504 0.4742 0.5586 [36 per cell]

E = -26.40 eV per atom
Fermi-level density of states = 0.00 states/eV/atom
Total magnetization = 0.00 μB/cell
E_form (uncorrected) = -2.15 eV per atom

***

[3]
Entry from the Alexandria database: Be2Co2Ru at its PBEsol-relaxed geometry (SCAN).

Cell lengths 3.6510, 3.6510, 7.5466 Å; angles 90.00, 90.00, 90.00 degrees
Space group I4/mmm (No. 139)
Inequivalent atoms, fractional coordinates:
Be: 0.0000 0.5000 0.2500 [4 per cell]
Co: 0.0000 0.0000 0.1361 [4 per cell]
Ru: 0.0000 0.0000 0.5000 [2 per cell]

E = -15.25 eV per atom
Fermi-level density of states = 0.89 states/eV/atom
Energy of formation from the pure elements = 0.3763 eV per atom
Total magnetization = 0.02 μB/cell
Distance to the lowest polymorph of the same formula = 508 meV per atom

***

[4]
Entry from the Alexandria database: Nb3CdH at its PBEsol-relaxed geometry (SCAN).

Cell lengths 4.9944, 4.9944, 4.9944 Å; angles 90.00, 90.00, 90.00 degrees
Space group Pm-3m (No. 221)
Inequivalent atoms, fractional coordinates:
Nb: 0.0000 0.0000 0.5000 [3 per cell]
Cd: 0.0000 0.0000 0.0000 [1 per cell]
H: 0.5000 0.5000 0.5000 [1 per cell]

E = -23.91 eV per atom
Fermi-level density of states = 1.10 states/eV/atom
Total magnetization = 2.37 μB/cell
Distance to the lowest polymorph of the same formula = 2782 meV per atom

***

[5]
Entry from the Alexandria database: CaTcBiIr2 at its PBEsol-relaxed geometry (SCAN).

Cell lengths 4.6937, 4.6937, 5.2934 Å; angles 90.00, 90.00, 90.00 degrees
Space group P4/mmm (No. 123)
Inequivalent atoms, fractional coordinates:
Ca: 0.0000 0.0000 0.0000 [1 per cell]
Tc: 0.5000 0.5000 0.5000 [1 per cell]
Bi: 0.0000 0.0000 0.5000 [1 per cell]
Ir: 0.0000 0.5000 0.0000 [2 per cell]

E = -50.69 eV per atom
Fermi-level density of states = 0.82 states/eV/atom
Energy of formation from the pure elements = 2.4075 eV per atom
Total magnetization = 4.59 μB/cell

***

[6]
Entry from the Alexandria database: PdClF2 at its PBEsol-relaxed geometry (SCAN).

Cell lengths 5.8649, 5.8649, 5.8649 Å; angles 90.00, 90.00, 90.00 degrees
Space group Fm-3m (No. 225)
Inequivalent atoms, fractional coordinates:
Pd: 0.0000 0.0000 0.0000 [4 per cell]
Cl: 0.0000 0.0000 0.5000 [4 per cell]
F: 0.2500 0.2500 0.2500 [8 per cell]

E = -12.07 eV per atom
Fermi-level density of states = 1.06 states/eV/atom
Total magnetization = 12.01 μB/cell
E_form (uncorrected) = -0.11 eV per atom

***

[7]
Entry from the Alexandria database: Cr2TeCl at its PBEsol-relaxed geometry (SCAN).

Cell lengths 3.9435, 6.2388, 7.2098 Å; angles 90.00, 90.00, 90.00 degrees
Space group Cmmm (No. 65)
Inequivalent atoms, fractional coordinates:
Cr: 0.0000 0.0000 0.2423 [4 per cell]
Te: 0.0000 0.5000 0.5000 [2 per cell]
Cl: 0.0000 0.5000 0.0000 [2 per cell]

E = -20.73 eV per atom
Fermi-level density of states = 0.32 states/eV/atom
Total magnetization = 18.03 μB/cell
E_form (uncorrected) = -0.23 eV per atom
Distance to the lowest polymorph of the same formula = 0 meV per atom

***

[8]
Entry from the Alexandria database: KHgPb2 at its PBEsol-relaxed geometry (SCAN).

Cell lengths 3.6148, 4.2840, 7.9066 Å; angles 90.00, 90.00, 90.00 degrees
Space group Pmm2 (No. 25)
Inequivalent atoms, fractional coordinates:
K: 0.0000 0.0000 0.0000 [1 per cell]
Hg: 0.5000 0.5000 0.7414 [1 per cell]
Pb: 0.0000 0.0000 0.5217 [1 per cell]
Pb: 0.5000 0.5000 0.3082 [1 per cell]

E = -57.22 eV per atom
Fermi-level density of states = 0.42 states/eV/atom
Energy of formation from the pure elements = -0.2041 eV per atom
Total magnetization = 0.00 μB/cell

***

[9]
Entry from the Alexandria database: BaHg2Pt at its PBEsol-relaxed geometry (SCAN).

Cell lengths 4.4075, 4.4075, 5.2488 Å; angles 90.00, 90.00, 90.00 degrees
Space group P4/mmm (No. 123)
Inequivalent atoms, fractional coordinates:
Ba: 0.0000 0.0000 0.0000 [1 per cell]
Hg: 0.0000 0.5000 0.5000 [2 per cell]
Pt: 0.5000 0.5000 0.0000 [1 per cell]

E = -61.83 eV per atom
Fermi-level density of states = 0.20 states/eV/atom
Energy of formation from the pure elements = -0.3088 eV per atom
Total magnetization = 0.00 μB/cell

***

[10]
Entry from the Alexandria database: InTcMoC2 at its PBEsol-relaxed geometry (SCAN).

Cell lengths 4.0472, 4.0472, 5.1069 Å; angles 90.00, 90.00, 90.00 degrees
Space group P4/mmm (No. 123)
Inequivalent atoms, fractional coordinates:
In: 0.0000 0.0000 0.0000 [1 per cell]
Tc: 0.0000 0.0000 0.5000 [1 per cell]
Mo: 0.5000 0.5000 0.5000 [1 per cell]
C: 0.0000 0.5000 0.0000 [2 per cell]

E = -21.52 eV per atom
Fermi-level density of states = 0.79 states/eV/atom
Energy of formation from the pure elements = 3.1826 eV per atom
Total magnetization = 0.29 μB/cell

***

[11]
Entry from the Alexandria database: Al2RuNF at its PBEsol-relaxed geometry (SCAN).

Cell lengths 4.6867, 4.6867, 3.8636 Å; angles 90.00, 90.00, 90.00 degrees
Space group P4/mmm (No. 123)
Inequivalent atoms, fractional coordinates:
Al: 0.0000 0.5000 0.0000 [2 per cell]
Ru: 0.0000 0.0000 0.0000 [1 per cell]
N: 0.5000 0.5000 0.5000 [1 per cell]
F: 0.0000 0.0000 0.5000 [1 per cell]

E = -11.99 eV per atom
Fermi-level density of states = 0.40 states/eV/atom
Total magnetization = 2.22 μB/cell
E_form (uncorrected) = 0.64 eV per atom

***

[12]
Entry from the Alexandria database: ScCoSi at its PBEsol-relaxed geometry (SCAN).

Cell lengths 4.0063, 4.0063, 3.1040 Å; angles 90.00, 90.00, 120.00 degrees
Space group P-6m2 (No. 187)
Inequivalent atoms, fractional coordinates:
Sc: 0.0000 0.0000 0.0000 [1 per cell]
Co: 0.6667 0.3333 0.5000 [1 per cell]
Si: 0.3333 0.6667 0.5000 [1 per cell]

E = -14.47 eV per atom
Fermi-level density of states = 0.69 states/eV/atom
Total magnetization = 0.67 μB/cell
E_form (uncorrected) = -0.62 eV per atom

***

[13]
Entry from the Alexandria database: TeRhSe2 at its PBEsol-relaxed geometry (SCAN).

Cell lengths 2.9832, 2.9832, 9.2273 Å; angles 90.00, 90.00, 90.00 degrees
Space group P4mm (No. 99)
Inequivalent atoms, fractional coordinates:
Te: 0.0000 0.0000 0.0000 [1 per cell]
Rh: 0.5000 0.5000 0.2198 [1 per cell]
Se: 0.0000 0.0000 0.3764 [1 per cell]
Se: 0.5000 0.5000 0.6804 [1 per cell]

E = -27.67 eV per atom
Fermi-level density of states = 0.54 states/eV/atom
Total magnetization = 0.00 μB/cell
E_form (uncorrected) = 0.13 eV per atom

***

[14]
Entry from the Alexandria database: TaTl2Os at its PBEsol-relaxed geometry (SCAN).

Cell lengths 3.1178, 3.0863, 8.7045 Å; angles 90.00, 100.25, 90.00 degrees
Space group Pm (No. 6)
Inequivalent atoms, fractional coordinates:
Ta: 0.0000 0.0000 0.0000 [1 per cell]
Tl: 0.6285 0.5000 0.2590 [1 per cell]
Tl: 0.7972 0.0000 0.5884 [1 per cell]
Os: 0.4175 0.5000 0.8339 [1 per cell]

E = -70.53 eV per atom
Fermi-level density of states = 0.66 states/eV/atom
Energy of formation from the pure elements = 0.2635 eV per atom
Total magnetization = 0.00 μB/cell
Distance to the lowest polymorph of the same formula = 0 meV per atom

***

[15]
Entry from the Alexandria database: KCu3 at its PBEsol-relaxed geometry (SCAN).

Cell lengths 3.9286, 3.9286, 8.4164 Å; angles 90.00, 90.00, 90.00 degrees
Space group I4/mmm (No. 139)
Inequivalent atoms, fractional coordinates:
K: 0.0000 0.0000 0.0000 [2 per cell]
Cu: 0.0000 0.0000 0.5000 [2 per cell]
Cu: 0.0000 0.5000 0.2500 [4 per cell]

E = -12.67 eV per atom
Fermi-level density of states = 0.17 states/eV/atom
Energy of formation from the pure elements = 0.8160 eV per atom
Total magnetization = 0.00 μB/cell
Distance to the lowest polymorph of the same formula = 184 meV per atom

***

[16]
Entry from the Alexandria database: Al4CoAu at its PBEsol-relaxed geometry (SCAN).

Cell lengths 7.0924, 7.0924, 7.0924 Å; angles 90.00, 90.00, 90.00 degrees
Space group F-43m (No. 216)
Inequivalent atoms, fractional coordinates:
Al: 0.1242 0.1242 0.3758 [16 per cell]
Co: 0.2500 0.2500 0.7500 [4 per cell]
Au: 0.0000 0.0000 0.0000 [4 per cell]

E = -19.37 eV per atom
Fermi-level density of states = 0.18 states/eV/atom
Energy of formation from the pure elements = 0.2109 eV per atom
Total magnetization = 0.00 μB/cell

***

[17]
Entry from the Alexandria database: Co2Tc at its PBEsol-relaxed geometry (SCAN).

Cell lengths 3.9666, 3.9666, 2.4960 Å; angles 90.00, 90.00, 120.00 degrees
Space group P6/mmm (No. 191)
Inequivalent atoms, fractional coordinates:
Co: 0.3333 0.6667 0.0000 [2 per cell]
Tc: 0.0000 0.0000 0.5000 [1 per cell]

E = -23.05 eV per atom
Fermi-level density of states = 0.83 states/eV/atom
Energy of formation from the pure elements = 0.1733 eV per atom
Total magnetization = 2.34 μB/cell
Distance to the lowest polymorph of the same formula = 38 meV per atom

***

[18]
Entry from the Alexandria database: ZrPt at its PBEsol-relaxed geometry (SCAN).

Cell lengths 9.7257, 3.9498, 6.0001 Å; angles 90.00, 110.38, 90.00 degrees
Space group C2/m (No. 12)
Inequivalent atoms, fractional coordinates:
Zr: 0.0000 0.0000 0.0000 [2 per cell]
Zr: 0.1590 0.5000 0.7881 [4 per cell]
Pt: 0.0000 0.0000 0.5000 [2 per cell]
Pt: 0.1671 0.5000 0.3149 [4 per cell]

E = -51.44 eV per atom
Fermi-level density of states = 0.84 states/eV/atom
Energy of formation from the pure elements = -0.9976 eV per atom
Total magnetization = 0.00 μB/cell

***

[19]
Entry from the Alexandria database: W3CO at its PBEsol-relaxed geometry (SCAN).

Cell lengths 4.0685, 4.0685, 4.0685 Å; angles 90.00, 90.00, 90.00 degrees
Space group Pm-3m (No. 221)
Inequivalent atoms, fractional coordinates:
W: 0.0000 0.0000 0.5000 [3 per cell]
C: 0.0000 0.0000 0.0000 [1 per cell]
O: 0.5000 0.5000 0.5000 [1 per cell]

E = -43.96 eV per atom
Fermi-level density of states = 0.48 states/eV/atom
Total magnetization = 0.00 μB/cell
E_form (uncorrected) = 1.12 eV per atom

***

[20]
Entry from the Alexandria database: LiY2Cd at its PBEsol-relaxed geometry (SCAN).

Cell lengths 3.6677, 3.6677, 7.3551 Å; angles 90.00, 90.00, 90.00 degrees
Space group P4mm (No. 99)
Inequivalent atoms, fractional coordinates:
Li: 0.0000 0.0000 0.0000 [1 per cell]
Y: 0.0000 0.0000 0.5681 [1 per cell]
Y: 0.5000 0.5000 0.2625 [1 per cell]
Cd: 0.5000 0.5000 0.8184 [1 per cell]

E = -22.30 eV per atom
Fermi-level density of states = 0.47 states/eV/atom
Energy of formation from the pure elements = -0.1800 eV per atom
Total magnetization = 1.37 μB/cell
Distance to the lowest polymorph of the same formula = 53 meV per atom